A | Crystalline ReNiW2 at its relaxed geometry. Source: the Alexandria database, functional PBEsol.

Lattice parameters (Å, degrees): 2.6609 2.6609 8.3296 90.00 90.00 105.69
Closest atoms and distances in Å follow each position.
Positions (direct):
Re: 0.0000 0.0000 0.0000  2 Ni 2.52, 4 Re 2.66, 2 W 2.72
Ni: 0.5000 0.5000 0.2326  2 Re 2.52, 2 W 2.53, 4 Ni 2.66
W: 0.0000 0.0000 0.4675  2 Ni 2.53, 6 W 2.66-2.76
W: 0.5000 0.5000 0.7371  6 W 2.66-2.76, 2 Re 2.72

---

B | Crystalline ReNiW2 at its relaxed geometry. Source: the Alexandria database, functional PBEsol.

Lattice parameters (Å, degrees): 2.6521 2.6521 8.0710 90.00 90.00 90.00
Closest atoms and distances in Å follow each position.
Positions (direct):
Re: 0.0000 0.0000 0.0000  4 Ni 2.59, 4 Re 2.65, 4 W 2.87
Ni: 0.5000 0.5000 0.7787  4 Re 2.59, 4 W 2.64, 4 Ni 2.65
W: 0.0000 0.0000 0.5481  4 Ni 2.64, 8 W 2.65-2.93
W: 0.5000 0.5000 0.2687  8 W 2.65-2.93, 4 Re 2.87

---

The most stable of them is A.

---

A | Crystalline ReMoW2 at its relaxed geometry. Source: the Alexandria database, functional PBEsol.

Lattice parameters (Å, degrees): 3.1254 4.4138 4.4390 90.00 90.00 90.00
Closest atoms and distances in Å follow each position.
Positions (direct):
Re: 0.0000 0.0000 0.0000  4 W 2.70, 4 Mo 2.71
Mo: 0.5000 0.0000 0.5000  4 W 2.70, 4 Re 2.71
W: 0.0000 0.5000 0.5000  4 Mo 2.70, 4 W 2.71
W: 0.5000 0.5000 0.0000  4 Re 2.70, 4 W 2.71

---

B | Crystalline ReMoW2 at its relaxed geometry. Source: the Alexandria database, functional PBEsol.

Lattice parameters (Å, degrees): 4.4241 4.4241 4.4241 60.00 60.00 60.00
Closest atoms and distances in Å follow each position.
Positions (direct):
Re: 0.0000 0.0000 0.0000  4 Mo 2.71, 4 W 2.71
Mo: 0.7500 0.7500 0.7500  4 Re 2.71, 4 W 2.71
W: 0.2500 0.2500 0.2500  4 W 2.71, 4 Re 2.71
W: 0.5000 0.5000 0.5000  4 Mo 2.71, 4 W 2.71

---

The most stable of them is A.

---

A | Crystalline SrCd2Rh2 at its relaxed geometry. Source: the Alexandria database, functional PBEsol.

Lattice parameters (Å, degrees): 7.7426 7.7426 3.1864 90.00 90.00 90.00
Closest atoms and distances in Å follow each position.
Positions (direct):
Sr: 0.0000 0.0000 0.0000  4 Rh 3.01, 2 Sr 3.19, 8 Cd 3.33
Sr: 0.5000 0.5000 0.0000  4 Rh 3.01, 2 Sr 3.19, 8 Cd 3.33
Cd: 0.1565 0.3435 0.5000  6 Rh 2.77-2.78
Cd: 0.3435 0.8435 0.5000  6 Rh 2.77-2.78
Cd: 0.6565 0.1565 0.5000  6 Rh 2.77-2.78
Cd: 0.8435 0.6565 0.5000  6 Rh 2.77-2.78
Rh: 0.1358 0.6358 0.0000  6 Cd 2.77-2.78, 1 Rh 2.97, 2 Sr 3.01
Rh: 0.3642 0.1358 0.0000  6 Cd 2.77-2.78, 1 Rh 2.97, 2 Sr 3.01
Rh: 0.6358 0.8642 0.0000  6 Cd 2.77-2.78, 1 Rh 2.97, 2 Sr 3.01
Rh: 0.8642 0.3642 0.0000  6 Cd 2.77-2.78, 1 Rh 2.97, 2 Sr 3.01

---

B | Crystalline SrCd2Rh2 at its relaxed geometry. Source: the Alexandria database, functional PBEsol.

Lattice parameters (Å, degrees): 6.3722 6.3722 6.3722 139.86 139.86 58.07
Closest atoms and distances in Å follow each position.
Positions (direct):
Sr: 0.0000 0.0000 0.0000  8 Rh 3.32, 8 Cd 3.54
Cd: 0.2500 0.7500 0.5000  4 Rh 2.70
Cd: 0.7500 0.2500 0.5000  4 Rh 2.70
Rh: 0.3918 0.3918 0.0000  1 Rh 2.41, 4 Cd 2.70
Rh: 0.6082 0.6082 0.0000  1 Rh 2.41, 4 Cd 2.70

---

The most stable of them is A.